First-principles (PBE with a Hubbard U) data for crystalline Bi2WClF at its relaxed geometry, as listed in the Alexandria database.

electronic total energy: -3.195 eV per atom
symmetry: P4/mmm, No. 123

Cell: 5.424 5.424 4.372 Å, 90.00 90.00 90.00°
Fractional positions:
Bi (0.000, 0.500, 0.000)
Bi (0.500, 0.000, 0.000)
W (0.000, 0.000, 0.500)
Cl (0.500, 0.500, 0.000)
F (0.500, 0.500, 0.500)